Below is a geometry-optimized Sr3Al2SnO9 structure, with properties calculated at the PBE-GGA level.

Summary:
**Symmetry**: P-3m1
**Raw formation energy**: -2.457 eV/atom
**Raw total energy**: -6.534 eV/atom

Unit cell a=5.552 b=5.552 c=6.824 alpha=90.00 beta=90.00 gamma=120.00
Last column: magnetic moment on the atom in μB.
Atoms (fractional coordinates):
Sr 0.333 0.667 0.674  0.00
Sr 0.000 0.000 0.000  0.00
Sr 0.667 0.333 0.326  0.00
Al 0.333 0.667 0.159  0.00
Al 0.667 0.333 0.841  0.00
Sn 0.000 0.000 0.500  -0.01
O 0.827 0.173 0.677  0.05
O 0.827 0.654 0.677  0.05
O 0.346 0.173 0.677  0.05
O 0.654 0.827 0.323  0.05
O 0.173 0.346 0.323  0.05
O 0.173 0.827 0.323  0.05
O 0.500 0.000 0.000  0.16
O 0.000 0.500 0.000  0.16
O 0.500 0.500 0.000  0.16

***

Below is a geometry-optimized Sr2YAlSn2O7 structure, with properties calculated at the PBE-GGA level.

Summary:
**Symmetry**: Ima2
**Raw formation energy**: -2.334 eV/atom
**Raw total energy**: -6.663 eV/atom

Unit cell a=11.547 b=11.547 c=11.547 alpha=150.46 beta=145.08 gamma=46.37
Atoms (fractional coordinates):
Sr 0.762 0.838 0.924
Sr 0.238 0.162 0.076
Sr 0.586 0.662 0.924
Sr 0.414 0.338 0.076
Y 0.500 0.563 0.063
Y 0.000 0.063 0.063
Al 0.141 0.730 0.371
Al 0.859 0.230 0.589
Sn 0.926 0.448 0.532
Sn 0.074 0.606 0.522
Sn 0.584 0.106 0.532
Sn 0.416 0.948 0.522
O 0.932 0.926 0.358
O 0.068 0.426 0.993
O 0.699 0.107 0.952
O 0.301 0.252 0.407
O 0.345 0.752 0.952
O 0.655 0.607 0.407
O 0.036 0.785 0.977
O 0.964 0.941 0.749
O 0.692 0.441 0.977
O 0.308 0.285 0.749
O 0.363 0.847 0.578
O 0.637 0.215 0.484
O 0.231 0.715 0.578
O 0.769 0.347 0.484

***

Below is a geometry-optimized TaAlSnO6 structure, with properties calculated at the PBE-GGA level.

Summary:
**Symmetry**: P-31c
**Raw formation energy**: -2.426 eV/atom
**Raw total energy**: -7.909 eV/atom

Unit cell a=5.053 b=5.053 c=9.009 alpha=90.00 beta=90.00 gamma=120.00
Atoms (fractional coordinates):
Ta 0.667 0.333 0.250
Ta 0.333 0.667 0.750
Al 0.333 0.667 0.250
Al 0.667 0.333 0.750
Sn 0.000 0.000 0.000
Sn 0.000 0.000 0.500
O 0.649 0.660 0.133
O 0.011 0.351 0.133
O 0.351 0.011 0.633
O 0.989 0.649 0.867
O 0.340 0.351 0.367
O 0.011 0.660 0.367
O 0.660 0.011 0.867
O 0.649 0.989 0.367
O 0.989 0.340 0.633
O 0.340 0.989 0.133
O 0.660 0.649 0.633
O 0.351 0.340 0.867